[1]
Density functional theory data (PBEsol) for a relaxed structure of Pb2Au.

```
data_Pb2Au
_space_group_name_H-M_alt 'P 1 21 1'
_space_group_IT_number 4
_space_group_name_Hall 'P 2yb'
_cell_length_a 3.6337
_cell_length_b 6.4966
_cell_length_c 6.7689
_cell_angle_alpha 90.00
_cell_angle_beta 105.19
_cell_angle_gamma 90.00
loop_
_atom_site_label
_atom_site_type_symbol
_atom_site_fract_x
_atom_site_fract_y
_atom_site_fract_z
Pb1 Pb 0.0198 0.0000 0.0388
Pb2 Pb 0.3011 0.2320 0.6088
Au1 Au 0.3669 0.7919 0.7300
```

- formation enthalpy at 0 K (kJ/mol of formula units) = -3
- uncorrected energy (eV/atom) = -3.98
- total magnetization (μB/f.u.) = 0.000

***

[2]
Density functional theory data (PBEsol) for a relaxed structure of Li3ScGe.

```
data_Li3ScGe
_space_group_name_H-M_alt 'P m -3 m'
_space_group_IT_number 221
_space_group_name_Hall '-P 4 2 3'
_cell_length_a 4.5847
_cell_length_b 4.5847
_cell_length_c 4.5847
_cell_angle_alpha 90.00
_cell_angle_beta 90.00
_cell_angle_gamma 90.00
loop_
_atom_site_label
_atom_site_type_symbol
_atom_site_fract_x
_atom_site_fract_y
_atom_site_fract_z
Li1 Li 0.0000 0.0000 0.5000
Sc1 Sc 0.5000 0.5000 0.5000
Ge1 Ge 0.0000 0.0000 0.0000
```

- formation enthalpy at 0 K (kJ/mol of formula units) = 69
- uncorrected energy (eV/atom) = -3.35
- total magnetization (μB/f.u.) = 0.671

***

[3]
Density functional theory data (PBEsol) for a relaxed structure of NiHgSe2.

```
data_NiHgSe2
_space_group_name_H-M_alt 'P 1 2/m 1'
_space_group_IT_number 10
_space_group_name_Hall '-P 2y'
_cell_length_a 4.6935
_cell_length_b 3.4685
_cell_length_c 5.3157
_cell_angle_alpha 90.00
_cell_angle_beta 112.14
_cell_angle_gamma 90.00
loop_
_atom_site_label
_atom_site_type_symbol
_atom_site_fract_x
_atom_site_fract_y
_atom_site_fract_z
Ni1 Ni 0.0000 0.0000 0.0000
Hg1 Hg 0.0000 0.0000 0.5000
Se1 Se 0.3540 0.5000 0.1539
```

- raw formation energy (kJ/mol of atoms) = -17
- uncorrected energy (eV/atom) = -3.78
- total magnetization (μB/f.u.) = 0.000